A plane-wave DFT calculation with GGA-PBE was carried out for a relaxed structure of CrCd2Ir. Values from VASP.

```
&SYSTEM
  ibrav = 0, nat = 4, ntyp = 3
/
ATOMIC_SPECIES
Cr 52.00 Cr.upf
Cd 112.41 Cd.upf
Ir 192.22 Ir.upf
CELL_PARAMETERS angstrom
0.0000 3.2721 3.2721
3.2721 0.0000 3.2721
3.2721 3.2721 0.0000
ATOMIC_POSITIONS angstrom
Cr 0.0000 0.0000 0.0000
Cd 4.9081 4.9081 4.9081
Cd 1.6360 1.6360 1.6360
Ir 3.2721 3.2721 3.2721
```

Density of states at the Fermi level: 2.228 states/eV/f.u.
Magnetic moment: 4.10 μB/f.u.
Volume: 70.1 Å³/cell
Relative energy among the computed polymorphs: 0.203 eV/atom
ρ: 11.116 g cm⁻³
SG: Fm-3m, No. 225